Li2MnSiPd after structural relaxation. Source: Alexandria, functional GGA-PBE.

Cell and atoms, written as CIF:
```
data_Li2MnSiPd
_chemical_formula_sum 'Li2 Mn1 Si1 Pd1'
_symmetry_space_group_name_H-M 'P 4/m m m'
_symmetry_Int_Tables_number 123
_symmetry_space_group_name_Hall '-P 4 2'
_cell_length_a 4.4883
_cell_length_b 4.4883
_cell_length_c 4.4638
_cell_angle_alpha 90.00
_cell_angle_beta 90.00
_cell_angle_gamma 90.00
loop_
_atom_site_label
_atom_site_fract_x
_atom_site_fract_y
_atom_site_fract_z
Li1 0.0000 0.5000 0.0000
Mn1 0.0000 0.0000 0.5000
Si1 0.0000 0.0000 0.0000
Pd1 0.5000 0.5000 0.5000
```

**Density of states at the Fermi level**: 2.13 states/eV per cell
**Formation energy without anion corrections**: 0.395 eV per atom
**Raw total energy**: -0.31806 Ry/atom
**Crystal system**: tetragonal